Entry 1:
The following is a DFT calculation (SCAN) of a PBEsol-optimized structure of NbCuCl2.

Geometry as CIF:
```
data_NbCuCl2
_chemical_formula_sum 'Nb1 Cu1 Cl2'
_space_group_name_H-M_alt 'P 1'
_space_group_IT_number 1
_cell_length_a 4.382
_cell_length_b 4.382
_cell_length_c 4.382
_cell_angle_alpha 60.00
_cell_angle_beta 60.00
_cell_angle_gamma 60.00
loop_
_space_group_symop_operation_xyz
'x,y,z'
loop_
_atom_site_label
_atom_site_fract_x
_atom_site_fract_y
_atom_site_fract_z
Nb1 0.500 0.500 0.500
Cl1 0.250 0.250 0.250
Cl2 0.750 0.750 0.750
Cu1 0.000 0.000 0.000
```

## Properties
E_form (uncorrected) = 0.16 eV/atom
D(E_F) = 1.84 states/eV per cell
symmetry = No. 225

---

Entry 2:
The following is a DFT calculation (SCAN) of a PBEsol-optimized structure of SnPtBr3.

Geometry as CIF:
```
data_SnPtBr3
_chemical_formula_sum 'Sn1 Pt1 Br3'
_space_group_name_H-M_alt 'P 1'
_space_group_IT_number 1
_cell_length_a 5.423
_cell_length_b 5.423
_cell_length_c 5.423
_cell_angle_alpha 90.00
_cell_angle_beta 90.00
_cell_angle_gamma 90.00
loop_
_space_group_symop_operation_xyz
'x,y,z'
loop_
_atom_site_label
_atom_site_fract_x
_atom_site_fract_y
_atom_site_fract_z
Sn1 0.000 0.000 0.000
Br1 0.000 0.500 0.000
Br2 0.500 0.000 0.000
Br3 0.000 0.000 0.500
Pt1 0.500 0.500 0.500
```

## Properties
E_form (uncorrected) = 0.62 eV/atom
D(E_F) = 11.26 states/eV per cell
symmetry = No. 221

---

Entry 3:
The following is a DFT calculation (SCAN) of a PBEsol-optimized structure of TiBe2Pt2.

Geometry as CIF:
```
data_TiBe2Pt2
_chemical_formula_sum 'Ti2 Be4 Pt4'
_space_group_name_H-M_alt 'P 1'
_space_group_IT_number 1
_cell_length_a 2.666
_cell_length_b 6.781
_cell_length_c 6.781
_cell_angle_alpha 90.00
_cell_angle_beta 90.00
_cell_angle_gamma 90.00
loop_
_space_group_symop_operation_xyz
'x,y,z'
loop_
_atom_site_label
_atom_site_fract_x
_atom_site_fract_y
_atom_site_fract_z
Be1 0.000 0.617 0.117
Pt1 0.500 0.677 0.823
Be2 0.000 0.383 0.883
Ti1 0.000 0.000 0.000
Pt2 0.500 0.177 0.677
Be3 0.000 0.117 0.383
Pt3 0.500 0.323 0.177
Ti2 0.000 0.500 0.500
Be4 0.000 0.883 0.617
Pt4 0.500 0.823 0.323
```

## Properties
calculated formation energy = -959.2 meV per atom
D(E_F) = 5.32 states/eV per cell
symmetry = No. 127

---

Q: Which of these has the lowest D(E_F)?
A: NbCuCl2